Crystalline Ac2TmTaO8 at its relaxed geometry, computed with PBE.

Cell lengths 4.5212, 7.1435, 5.5886 Å; angles 90.00, 93.82, 90.00 degrees
Sites, in units of the cell vectors:
Ac1 0.0000 0.2470 0.0000
Ac2 0.0000 0.7530 0.0000
Tm1 0.5000 0.5000 0.5000
Ta1 0.5000 0.0000 0.5000
O1 0.0646 0.0000 0.3819
O2 0.0845 0.5000 0.2592
O3 0.4539 0.2102 0.7321
O4 0.4539 0.7898 0.7321
O5 0.5461 0.2102 0.2679
O6 0.5461 0.7898 0.2679
O7 0.9155 0.5000 0.7408
O8 0.9354 0.0000 0.6181

Output
* spin magnetization: 0.00 μB/cell
* ΔE_f (raw): -65.56 kcal/mol of atoms
* symmetry: P2/m, No. 10